1.
A plane-wave DFT calculation with PBE was carried out for a relaxed SrMgBeBi2 crystal.

## Properties
As for the space-group type: P4/mmm (123). The total magnetic moment is 0.00 μB/f.u. Its density of states at the Fermi level is 6.01 states/eV per cell. The energy of formation from the pure elements comes out at 1.26 eV per atom.

Cell: 6.1735 6.1735 6.3577 Å, 90.00 90.00 90.00°
Last column: nearest neighbours and their distance in Å.
Element x y z (fractional)
Sr1 0.0000 0.0000 0.0000  4 Bi 3.09, 2 Mg 3.18
Mg1 0.0000 0.0000 0.5000  2 Sr 3.18
Be1 0.5000 0.5000 0.5000  4 Mg 4.37, 8 Bi 4.43
Bi1 0.0000 0.5000 0.0000  2 Sr 3.09
Bi2 0.5000 0.0000 0.0000  2 Sr 3.09



2.
A plane-wave DFT calculation with PBE was carried out for a relaxed MgTa2BeBi crystal.

## Properties
As for the space-group type: P4/mmm (123). The total magnetic moment is 0.00 μB/f.u. Its density of states at the Fermi level is 6.64 states/eV per cell. The energy of formation from the pure elements comes out at 2.21 eV per atom.

Cell: 5.2078 5.2078 5.0768 Å, 90.00 90.00 90.00°
Last column: nearest neighbours and their distance in Å.
Element x y z (fractional)
Mg1 0.0000 0.0000 0.0000  2 Bi 2.54
Ta1 0.0000 0.5000 0.5000  2 Bi 2.60
Ta2 0.5000 0.0000 0.5000  2 Bi 2.60
Be1 0.5000 0.5000 0.0000  8 Ta 3.64, 4 Mg 3.68
Bi1 0.0000 0.0000 0.5000  2 Mg 2.54, 4 Ta 2.60



3.
A plane-wave DFT calculation with PBE was carried out for a relaxed YMgBeBi2 crystal.

## Properties
As for the space-group type: P4/mmm (123). The total magnetic moment is 0.00 μB/f.u. Its density of states at the Fermi level is 3.74 states/eV per cell. The energy of formation from the pure elements comes out at 0.44 eV per atom.

Cell: 5.5484 5.5484 4.5859 Å, 90.00 90.00 90.00°
Last column: nearest neighbours and their distance in Å.
Element x y z (fractional)
Y1 0.0000 0.0000 0.0000  8 Bi 3.60, 4 Be 3.92
Mg1 0.5000 0.5000 0.5000  2 Be 2.29
Be1 0.5000 0.5000 0.0000  2 Mg 2.29
Bi1 0.0000 0.5000 0.5000  2 Mg 2.77
Bi2 0.5000 0.0000 0.5000  2 Mg 2.77



4.
A plane-wave DFT calculation with PBE was carried out for a relaxed MnBe3Bi crystal.

## Properties
The energy above the lowest structure with this stoichiometry is 1310.4 meV per atom. As for the space-group type: Pm-3m (221). The total magnetic moment is 0.22 μB/f.u. Its density of states at the Fermi level is 6.38 states/eV per cell. The energy of formation from the pure elements comes out at 2.14 eV per atom.

Cell: 4.6412 4.6412 4.6412 Å, 90.00 90.00 90.00°
Last column: nearest neighbours and their distance in Å.
Element x y z (fractional)
Mn1 0.0000 0.0000 0.0000  12 Be 3.28
Be1 0.0000 0.5000 0.5000  2 Bi 2.32
Be2 0.5000 0.0000 0.5000  2 Bi 2.32
Be3 0.5000 0.5000 0.0000  2 Bi 2.32
Bi1 0.5000 0.5000 0.5000  6 Be 2.32



5.
A plane-wave DFT calculation with PBE was carried out for a relaxed MnBe2Bi2 crystal.

## Properties
The energy above the lowest structure with this stoichiometry is 170.6 meV per atom. As for the space-group type: P4/mbm (127). The total magnetic moment is 0.08 μB/f.u. Its density of states at the Fermi level is 17.30 states/eV per cell. The energy of formation from the pure elements comes out at 0.80 eV per atom.

Cell: 6.7719 6.7719 3.7345 Å, 90.00 90.00 90.00°
Last column: nearest neighbours and their distance in Å.
Element x y z (fractional)
Mn1 0.0000 0.0000 0.0000  4 Be 2.71
Mn2 0.5000 0.5000 0.0000  4 Be 2.71
Be1 0.1180 0.3820 0.0000  1 Be 2.26
Be2 0.3820 0.8820 0.0000  1 Be 2.26
Be3 0.6180 0.1180 0.0000  1 Be 2.26
Be4 0.8820 0.6180 0.0000  1 Be 2.26
Bi1 0.1859 0.6859 0.5000  6 Be 2.65-2.82
Bi2 0.3141 0.1859 0.5000  6 Be 2.65-2.82
Bi3 0.6859 0.8141 0.5000  6 Be 2.65-2.82
Bi4 0.8141 0.3141 0.5000  6 Be 2.65-2.82



6.
A plane-wave DFT calculation with PBE was carried out for a relaxed Mn2BeBi crystal.

## Properties
The energy above the lowest structure with this stoichiometry is 0.0 meV per atom. As for the space-group type: Fm-3m (225). The total magnetic moment is 2.91 μB/f.u. Its density of states at the Fermi level is 3.93 states/eV per cell. The energy of formation from the pure elements comes out at 0.65 eV per atom.

Cell: 4.2877 4.2877 4.2877 Å, 60.00 60.00 60.00°
Last column: nearest neighbours and their distance in Å.
Element x y z (fractional)
Mn1 0.2500 0.2500 0.2500  4 Bi 2.63, 4 Be 2.63
Mn2 0.7500 0.7500 0.7500  4 Bi 2.63, 4 Be 2.63
Be1 0.0000 0.0000 0.0000  8 Mn 2.63
Bi1 0.5000 0.5000 0.5000  8 Mn 2.63



7.
A plane-wave DFT calculation with PBE was carried out for a relaxed Mn3BeBi crystal.

## Properties
The energy above the lowest structure with this stoichiometry is 1251.8 meV per atom. As for the space-group type: Pm-3m (221). The total magnetic moment is 11.64 μB/f.u. Its density of states at the Fermi level is 4.03 states/eV per cell. The energy of formation from the pure elements comes out at 1.66 eV per atom.

Cell: 5.0877 5.0877 5.0877 Å, 90.00 90.00 90.00°
Last column: nearest neighbours and their distance in Å.
Element x y z (fractional)
Mn1 0.0000 0.0000 0.5000  2 Bi 2.54
Mn2 0.0000 0.5000 0.0000  2 Bi 2.54
Mn3 0.5000 0.0000 0.0000  2 Bi 2.54
Be1 0.5000 0.5000 0.5000  12 Mn 3.60
Bi1 0.0000 0.0000 0.0000  6 Mn 2.54



8.
A plane-wave DFT calculation with PBE was carried out for a relaxed MnBe2Bi2 crystal.

## Properties
The energy above the lowest structure with this stoichiometry is 0.0 meV per atom. As for the space-group type: I4/mmm (139). The total magnetic moment is 3.03 μB/f.u. Its density of states at the Fermi level is 2.87 states/eV per cell. The energy of formation from the pure elements comes out at 0.63 eV per atom.

Cell: 5.0887 5.0887 5.0887 Å, 115.94 115.94 97.19°
Last column: nearest neighbours and their distance in Å.
Element x y z (fractional)
Mn1 0.0000 0.0000 0.0000  2 Be 2.32
Be1 0.3442 0.3442 0.0000  1 Be 2.10, 1 Mn 2.32
Be2 0.6558 0.6558 0.0000  1 Be 2.10, 1 Mn 2.32
Bi1 0.2500 0.7500 0.5000  4 Be 2.77
Bi2 0.7500 0.2500 0.5000  4 Be 2.77



9.
A plane-wave DFT calculation with PBE was carried out for a relaxed MnBe3Bi crystal.

## Properties
The energy above the lowest structure with this stoichiometry is 0.0 meV per atom. As for the space-group type: Pm-3m (221). The total magnetic moment is 0.47 μB/f.u. Its density of states at the Fermi level is 2.81 states/eV per cell. The energy of formation from the pure elements comes out at 0.83 eV per atom.

Cell: 4.2209 4.2209 4.2209 Å, 90.00 90.00 90.00°
Last column: nearest neighbours and their distance in Å.
Element x y z (fractional)
Mn1 0.0000 0.0000 0.0000  6 Be 2.11
Be1 0.0000 0.0000 0.5000  2 Mn 2.11
Be2 0.0000 0.5000 0.0000  2 Mn 2.11
Be3 0.5000 0.0000 0.0000  2 Mn 2.11
Bi1 0.5000 0.5000 0.5000  12 Be 2.98



10.
A plane-wave DFT calculation with PBE was carried out for a relaxed Mn2BeBi crystal.

## Properties
The energy above the lowest structure with this stoichiometry is 32.7 meV per atom. As for the space-group type: I-42d (122). The total magnetic moment is 0.00 μB/f.u. Its density of states at the Fermi level is 6.12 states/eV per cell. The energy of formation from the pure elements comes out at 0.68 eV per atom.

Cell: 8.8881 8.8881 8.8881 Å, 155.31 155.31 35.20°
Last column: nearest neighbours and their distance in Å.
Element x y z (fractional)
Mn1 0.0162 0.1250 0.3912  2 Mn 2.18, 2 Be 2.38
Mn2 0.3750 0.9838 0.1088  2 Mn 2.18, 2 Be 2.38
Mn3 0.7338 0.6250 0.6088  2 Mn 2.18, 2 Be 2.38
Mn4 0.8750 0.2662 0.8912  2 Mn 2.18, 2 Be 2.38
Be1 0.0000 0.0000 0.0000  4 Mn 2.38
Be2 0.7500 0.2500 0.5000  4 Mn 2.38
Bi1 0.2500 0.7500 0.5000  4 Be 2.69, 4 Mn 2.69
Bi2 0.5000 0.5000 0.0000  4 Be 2.69, 4 Mn 2.69



11.
A plane-wave DFT calculation with PBE was carried out for a relaxed Mn3BeBi crystal.

## Properties
The energy above the lowest structure with this stoichiometry is 0.0 meV per atom. As for the space-group type: Pm-3m (221). The total magnetic moment is 10.31 μB/f.u. Its density of states at the Fermi level is 3.31 states/eV per cell. The energy of formation from the pure elements comes out at 0.41 eV per atom.

Cell: 4.3333 4.3333 4.3333 Å, 90.00 90.00 90.00°
Last column: nearest neighbours and their distance in Å.
Element x y z (fractional)
Mn1 0.0000 0.0000 0.5000  2 Be 2.17
Mn2 0.0000 0.5000 0.0000  2 Be 2.17
Mn3 0.5000 0.0000 0.0000  2 Be 2.17
Be1 0.0000 0.0000 0.0000  6 Mn 2.17
Bi1 0.5000 0.5000 0.5000  12 Mn 3.06



12.
A plane-wave DFT calculation with PBE was carried out for a relaxed MnBeBi2 crystal.

## Properties
As for the space-group type: I-42d (122). The total magnetic moment is 3.59 μB/f.u. Its density of states at the Fermi level is 5.75 states/eV per cell. The energy of formation from the pure elements comes out at 0.59 eV per atom.

Cell: 6.8575 6.8575 6.8575 Å, 122.87 122.87 85.10°
Last column: nearest neighbours and their distance in Å.
Element x y z (fractional)
Mn1 0.0000 0.0000 0.0000  4 Bi 2.77
Mn2 0.7500 0.2500 0.5000  4 Bi 2.77
Be1 0.2500 0.7500 0.5000  4 Bi 2.52
Be2 0.5000 0.5000 0.0000  4 Bi 2.52
Bi1 0.1568 0.6250 0.0318  2 Be 2.52, 2 Mn 2.77
Bi2 0.3750 0.4068 0.5318  2 Be 2.52, 2 Mn 2.77
Bi3 0.5932 0.1250 0.9682  2 Be 2.52, 2 Mn 2.77
Bi4 0.8750 0.8432 0.4682  2 Be 2.52, 2 Mn 2.77



13.
A plane-wave DFT calculation with PBE was carried out for a relaxed Mn2BeNbBi crystal.

## Properties
The energy above the lowest structure with this stoichiometry is 364.5 meV per atom. As for the space-group type: P4/mmm (123). The total magnetic moment is 5.80 μB/f.u. Its density of states at the Fermi level is 3.76 states/eV per cell. The energy of formation from the pure elements comes out at 1.16 eV per atom.

Cell: 4.7374 4.7374 4.6342 Å, 90.00 90.00 90.00°
Last column: nearest neighbours and their distance in Å.
Element x y z (fractional)
Mn1 0.0000 0.5000 0.0000  2 Nb 2.37
Mn2 0.5000 0.0000 0.0000  2 Nb 2.37
Be1 0.0000 0.0000 0.5000  2 Nb 2.32
Nb1 0.0000 0.0000 0.0000  2 Be 2.32, 4 Mn 2.37
Bi1 0.5000 0.5000 0.5000  8 Mn 3.31, 4 Be 3.35



14.
A plane-wave DFT calculation with PBE was carried out for a relaxed Mn2BeNbBi crystal.

## Properties
The energy above the lowest structure with this stoichiometry is 0.0 meV per atom. As for the space-group type: P4/mmm (123). The total magnetic moment is 4.36 μB/f.u. Its density of states at the Fermi level is 4.46 states/eV per cell. The energy of formation from the pure elements comes out at 0.79 eV per atom.

Cell: 4.1975 4.1975 4.8232 Å, 90.00 90.00 90.00°
Last column: nearest neighbours and their distance in Å.
Element x y z (fractional)
Mn1 0.0000 0.5000 0.0000  2 Be 2.10
Mn2 0.5000 0.0000 0.0000  2 Be 2.10
Be1 0.0000 0.0000 0.0000  4 Mn 2.10
Nb1 0.5000 0.5000 0.5000  4 Bi 2.97, 8 Mn 3.20
Bi1 0.0000 0.0000 0.5000  2 Be 2.41